[1]
The following is a PBE-GGA calculation of a geometry-optimized Sc2TaCoRh structure, from Alexandria.

abc: 4.6525 4.6525 4.5507
angles: 90.00 90.00 90.00
Atoms (fractional coordinates):
Sc  0.0000  0.5000  0.0000
Sc  0.5000  0.0000  0.0000
Ta  0.0000  0.0000  0.5000
Co  0.0000  0.0000  0.0000
Rh  0.5000  0.5000  0.5000

Values from the calculation:
Its energy of formation from the pure elements is 0.229 eV per atom. The density is 7.3 g cm⁻³. The value obtained for the calculated total energy is -37.83 eV/cell.


[2]
The following is a PBE-GGA calculation of a geometry-optimized SrGa2Cl4 structure, from Alexandria.

abc: 5.7727 5.7727 14.5549
angles: 90.00 90.00 90.00
Atoms (fractional coordinates):
Sr  0.0000  0.0000  0.0000
Sr  0.5000  0.5000  0.5000
Ga  0.0000  0.0000  0.3688
Ga  0.0000  0.0000  0.6312
Ga  0.5000  0.5000  0.1312
Ga  0.5000  0.5000  0.8688
Cl  0.0000  0.0000  0.1974
Cl  0.0000  0.0000  0.8026
Cl  0.0000  0.5000  0.0000
Cl  0.0000  0.5000  0.5000
Cl  0.5000  0.0000  0.0000
Cl  0.5000  0.0000  0.5000
Cl  0.5000  0.5000  0.3026
Cl  0.5000  0.5000  0.6974

Values from the calculation:
The value obtained for the formation energy from raw total energies is -9.57 eV per formula unit. The density is 2.5 g cm⁻³. The value obtained for the calculated total energy is -49.38 eV/cell.